DFT (PBE) results for an optimized crystal structure of DyY2Ho7.

Structure (POSCAR):
```
DyY2Ho7
1.0
-2.9101 -2.2695 3.4665
-4.0268 -5.5462 -7.0115
7.9406 -1.8772 5.4370
Dy Ho Y
1 7 2
Direct
0.0000 0.0000 0.0000 Dy
0.5000 0.9239 0.7148 Ho
0.5000 0.5000 0.5000 Ho
0.0000 0.1912 0.8088 Ho
0.5000 0.2852 0.0761 Ho
0.5000 0.7148 0.9239 Ho
0.0000 0.8088 0.1912 Ho
0.5000 0.0761 0.2852 Ho
0.5000 0.7032 0.2968 Y
0.5000 0.2968 0.7032 Y
```

Volume: 381.6 Å³/cell
Total DFT energy (no corrections): -4.25 eV per atom